(1)
First-principles (GGA-PBE) data for a geometry-optimized LiCe2DySe4 structure, as listed in Alexandria via LeMat-Bulk.

## Properties
For the formation energy from raw total energies, the calculation gives -1.717 eV/atom. As for the symmetry: No. 10.

a b c (Å): 4.1261 7.1733 7.1297
angles (deg): 70.56 90.00 90.00
Fractional coordinates of all 8 atoms:
Li 0.5000 0.5000 0.0000
Ce 0.0000 0.0000 0.0000
Ce 0.5000 0.0000 0.5000
Dy 0.0000 0.5000 0.5000
Se 0.0000 0.7333 0.7587
Se 0.0000 0.2667 0.2413
Se 0.5000 0.7345 0.2497
Se 0.5000 0.2655 0.7503

=====

(2)
First-principles (GGA-PBE) data for a geometry-optimized Li4GaPd structure, as listed in Alexandria via LeMat-Bulk.

## Properties
As for the symmetry: No. 12. Its energy relative to the elements is -0.25 eV per atom.

a b c (Å): 4.8521 7.1263 6.8863
angles (deg): 121.16 101.22 90.00
Fractional coordinates of all 12 atoms:
Li 0.2946 0.6611 0.3222
Li 0.4051 0.0596 0.7378
Li 0.0000 0.1911 0.0000
Li 0.5949 0.3218 0.2622
Li 0.7054 0.3389 0.6778
Li 0.5949 0.9404 0.2622
Li 0.0000 0.8089 0.0000
Li 0.4051 0.6782 0.7378
Ga 0.8701 0.7844 0.5687
Ga 0.1299 0.2156 0.4313
Pd 0.2287 0.4356 0.8712
Pd 0.7713 0.5644 0.1288

=====

(3)
First-principles (GGA-PBE) data for a geometry-optimized LaHg2Au2 structure, as listed in Alexandria via LeMat-Bulk.

## Properties
As for the symmetry: No. 139. Its energy relative to the elements is -0.44 eV per atom.

a b c (Å): 4.2859 4.2859 7.3594
angles (deg): 73.07 73.07 90.00
Fractional coordinates of all 5 atoms:
Au 0.3995 0.3995 0.2011
Au 0.6005 0.6005 0.7989
Hg 0.7500 0.2500 0.5000
Hg 0.2500 0.7500 0.5000
La 0.0000 0.0000 0.0000

=====

Calculated values (states/eV per atom) of D(E_F) for the records, taken in order: 1.583; 0.397; 0.523.